First-principles (PBE-GGA) data for Nd2CuSi4Au3 after structural relaxation, as listed in the Alexandria database.

Values from the calculation:
Formation energy without anion corrections = -5.6 eV per formula unit

abc: 4.2813 4.2813 10.3482
angles: 90.00 90.00 90.00
Closest atoms and distances in Å follow each position.
Atoms (fractional coordinates):
Nd (0.5000, 0.0000, 0.2570)  8 Si 3.25-3.41, 6 Au 3.29-3.30, 2 Cu 3.30
Nd (0.0000, 0.5000, 0.7430)  8 Si 3.25-3.41, 6 Au 3.29-3.30, 2 Cu 3.30
Cu (0.5000, 0.5000, 0.5000)  4 Si 2.52
Si (0.5000, 0.5000, 0.0000)  4 Au 2.54
Si (0.0000, 0.0000, 0.0000)  4 Au 2.54
Si (0.5000, 0.0000, 0.6281)  3 Au 2.48-2.52, 2 Cu 2.52
Si (0.0000, 0.5000, 0.3719)  3 Au 2.48-2.52, 2 Cu 2.52
Au (0.0000, 0.0000, 0.5000)  4 Si 2.52
Au (0.5000, 0.0000, 0.8678)  5 Si 2.48-2.54
Au (0.0000, 0.5000, 0.1322)  5 Si 2.48-2.54


First-principles (PBE-GGA) data for BIrC after structural relaxation, as listed in the Alexandria database.

Values from the calculation:
Energy above the most stable polymorph in this dataset = 0.0 meV/atom
ΔH_f (0 K) = 0.226 eV/atom

abc: 2.7403 2.7403 4.3401
angles: 90.00 90.00 120.00
Closest atoms and distances in Å follow each position.
Atoms (fractional coordinates):
C (0.0000, 0.0000, 0.0000)  3 B 1.58
Ir (0.0000, 0.0000, 0.5000)  2 C 2.17
B (0.3333, 0.6667, 0.0000)  3 C 1.58


First-principles (PBE-GGA) data for Cd7HgAu4 after structural relaxation, as listed in the Alexandria database.

Values from the calculation:
Energy above the most stable polymorph in this dataset = 0.0 meV/atom
ΔH_f (0 K) = -0.096 eV/atom

abc: 6.4249 5.6982 7.9442
angles: 78.03 64.69 78.66
Closest atoms and distances in Å follow each position.
Atoms (fractional coordinates):
Cd (0.7644, 0.5196, 0.9840)  4 Cd 2.92-3.11, 3 Au 2.92-3.07, 1 Hg 3.05
Cd (0.2356, 0.4804, 0.0160)  4 Cd 2.92-3.11, 3 Au 2.92-3.07, 1 Hg 3.05
Cd (0.7610, 0.3463, 0.6569)  5 Au 2.85-3.12, 3 Cd 2.97-3.06
Cd (0.2390, 0.6537, 0.3431)  5 Au 2.85-3.12, 3 Cd 2.97-3.06
Cd (0.3360, 0.8206, 0.6423)  5 Au 2.86-3.01, 1 Hg 2.98, 3 Cd 3.06-3.08
Cd (0.5000, 0.0000, 0.0000)  2 Au 2.90, 4 Cd 2.92-3.05, 2 Hg 3.21
Cd (0.6640, 0.1794, 0.3577)  5 Au 2.86-3.01, 1 Hg 2.98, 3 Cd 3.06-3.08
Hg (0.0000, 0.0000, 0.0000)  2 Au 2.88, 6 Cd 2.98-3.21
Au (0.7673, 0.6582, 0.3172)  7 Cd 2.86-3.12, 1 Hg 2.88, 1 Au 3.05
Au (0.2327, 0.3418, 0.6828)  7 Cd 2.86-3.12, 1 Hg 2.88, 1 Au 3.05
Au (0.7989, 0.8452, 0.6377)  7 Cd 2.85-2.99, 2 Au 3.05-3.15
Au (0.2011, 0.1548, 0.3623)  7 Cd 2.85-2.99, 2 Au 3.05-3.15


First-principles (PBE-GGA) data for TiHIrRu2 after structural relaxation, as listed in the Alexandria database.

Values from the calculation:
Energy above the most stable polymorph in this dataset = 0.0 meV/atom

abc: 3.8629 3.8629 3.9860
angles: 90.00 90.00 90.00
Closest atoms and distances in Å follow each position.
Atoms (fractional coordinates):
Ru (0.0000, 0.5000, 0.0000)  2 H 1.93
Ru (0.5000, 0.0000, 0.0000)  2 H 1.93
Ir (0.5000, 0.5000, 0.5000)  4 Ti 2.73, 8 Ru 2.78
H (0.0000, 0.0000, 0.0000)  4 Ru 1.93, 2 Ti 1.99
Ti (0.0000, 0.0000, 0.5000)  2 H 1.99


First-principles (PBE-GGA) data for CaGe2Pd7 after structural relaxation, as listed in the Alexandria database.

Values from the calculation:
Energy above the most stable polymorph in this dataset = 286.9 meV/atom
ΔH_f (0 K) = -0.234 eV/atom

abc: 4.5767 7.0759 7.0759
angles: 117.58 90.00 90.00
Closest atoms and distances in Å follow each position.
Atoms (fractional coordinates):
Ca (0.0000, 0.0000, 0.0000)  10 Pd 2.85-3.07
Ge (0.5000, 0.6990, 0.3010)  7 Pd 2.41-2.54
Ge (0.5000, 0.3010, 0.6990)  7 Pd 2.41-2.54
Pd (0.0000, 0.7646, 0.2354)  2 Ge 2.42
Pd (0.0000, 0.2354, 0.7646)  2 Ge 2.42
Pd (0.5000, 0.0635, 0.3139)  2 Ge 2.45-2.54, 1 Pd 2.74
Pd (0.5000, 0.9365, 0.6861)  2 Ge 2.45-2.54, 1 Pd 2.74
Pd (0.5000, 0.3139, 0.0635)  2 Ge 2.45-2.54, 1 Pd 2.74
Pd (0.5000, 0.6861, 0.9365)  2 Ge 2.45-2.54, 1 Pd 2.74
Pd (0.5000, 0.5000, 0.5000)  2 Ge 2.41


First-principles (PBE-GGA) data for KCd2Co after structural relaxation, as listed in the Alexandria database.

Values from the calculation:
Energy above the most stable polymorph in this dataset = 302.8 meV/atom
ΔH_f (0 K) = 0.621 eV/atom

abc: 5.4171 5.4171 3.0583
angles: 90.00 90.00 90.00
Closest atoms and distances in Å follow each position.
Atoms (fractional coordinates):
Cd (0.0000, 0.0000, 0.0000)  2 Cd 3.06, 4 K 3.11, 4 Co 3.11
Cd (0.5000, 0.5000, 0.0000)  2 Cd 3.06, 4 Co 3.11, 4 K 3.11
Co (0.5000, 0.0000, 0.5000)  2 Co 3.06, 8 Cd 3.11
K (0.0000, 0.5000, 0.5000)  2 K 3.06, 8 Cd 3.11


First-principles (PBE-GGA) data for Hf2AlRu after structural relaxation, as listed in the Alexandria database.

Values from the calculation:
ΔH_f (0 K) = -0.481 eV/atom

abc: 3.3436 3.3436 6.4286
angles: 90.00 90.00 90.00
Closest atoms and distances in Å follow each position.
Atoms (fractional coordinates):
Ru (0.5000, 0.5000, 0.0000)  8 Hf 2.82
Hf (0.0000, 0.0000, 0.7615)  4 Ru 2.82, 4 Al 2.90, 1 Hf 3.07
Hf (0.0000, 0.0000, 0.2385)  4 Ru 2.82, 4 Al 2.90, 1 Hf 3.07
Al (0.5000, 0.5000, 0.5000)  8 Hf 2.90, 2 Ru 3.21


First-principles (PBE-GGA) data for TlReSi2 after structural relaxation, as listed in the Alexandria database.

Values from the calculation:
Energy above the most stable polymorph in this dataset = 108.6 meV/atom
Formation energy without anion corrections = 1.1 eV per formula unit

abc: 4.3050 4.3050 6.8866
angles: 79.75 79.75 41.62
Closest atoms and distances in Å follow each position.
Atoms (fractional coordinates):
Re (0.2500, 0.2500, 0.2500)  6 Si 2.47-2.52
Si (0.9826, 0.9826, 0.1105)  3 Re 2.47-2.52, 2 Si 2.51
Si (0.5174, 0.5174, 0.3895)  3 Re 2.47-2.52, 2 Si 2.51
Tl (0.7500, 0.7500, 0.7500)  2 Tl 3.06, 6 Si 3.33-3.38


First-principles (PBE-GGA) data for CdIn2PdI after structural relaxation, as listed in the Alexandria database.

Values from the calculation:
Formation energy without anion corrections = -1.4 eV per formula unit

abc: 5.3123 5.3123 5.3469
angles: 90.00 90.00 90.00
Closest atoms and distances in Å follow each position.
Atoms (fractional coordinates):
I (0.5000, 0.5000, 0.5000)  4 Cd 3.76, 8 In 3.77
Cd (0.0000, 0.0000, 0.5000)  2 Pd 2.67
Pd (0.0000, 0.0000, 0.0000)  4 In 2.66, 2 Cd 2.67
In (0.0000, 0.5000, 0.0000)  2 Pd 2.66
In (0.5000, 0.0000, 0.0000)  2 Pd 2.66


First-principles (PBE-GGA) data for IrPtSe2 after structural relaxation, as listed in the Alexandria database.

Values from the calculation:
Formation energy without anion corrections = 1.5 eV per formula unit

abc: 3.1333 3.1323 6.7804
angles: 90.00 90.00 90.00
Closest atoms and distances in Å follow each position.
Atoms (fractional coordinates):
Ir (0.5000, 0.5000, 0.2500)  8 Se 2.75
Pt (0.5000, 0.5000, 0.7500)  8 Se 2.83, 4 Pt 3.13
Se (0.0000, 0.0000, 0.0104)  4 Ir 2.75, 4 Pt 2.83
Se (0.0000, 0.0000, 0.4896)  4 Ir 2.75, 4 Pt 2.83


First-principles (PBE-GGA) data for HoHf2Mo after structural relaxation, as listed in the Alexandria database.

Values from the calculation:
Energy above the most stable polymorph in this dataset = 295.8 meV/atom
ΔH_f (0 K) = 0.341 eV/atom

abc: 3.2241 3.2241 10.5593
angles: 81.22 81.22 60.00
Closest atoms and distances in Å follow each position.
Atoms (fractional coordinates):
Mo (0.5000, 0.5000, 0.5000)  6 Hf 2.76
Hf (0.1011, 0.1011, 0.6966)  3 Mo 2.76
Hf (0.8989, 0.8989, 0.3034)  3 Mo 2.76
Ho (0.0000, 0.0000, 0.0000)  2 Hf 3.15, 6 Ho 3.22


First-principles (PBE-GGA) data for NaCa2H after structural relaxation, as listed in the Alexandria database.

Values from the calculation:
Energy above the most stable polymorph in this dataset = 57.2 meV/atom

abc: 3.7132 3.7132 10.1434
angles: 79.45 79.45 60.00
Closest atoms and distances in Å follow each position.
Atoms (fractional coordinates):
Na (0.0000, 0.0000, 0.0000)  2 Ca 3.51, 6 Na 3.71
Ca (0.1179, 0.1179, 0.6462)  3 H 2.59
Ca (0.8821, 0.8821, 0.3538)  3 H 2.59
H (0.5000, 0.5000, 0.5000)  6 Ca 2.59


no.,Fermi-level density of states (states/eV per atom)
1,0.18
2,0.30
3,0.28
4,0.91
5,0.51
6,0.70
7,0.88
8,0.42
9,0.29
10,0.77
11,1.27
12,0.63